## one
# AgHIrRh2

Crystalline AgHIrRh2 at its relaxed geometry (PBE-GGA, Alexandria via LeMat-Bulk).

Results
Space group: P4/mmm
Crystal system: tetragonal
Total moment (μB per formula unit): 0.00
Density of states at the Fermi level (states/eV/atom): 1.749
Calculated density (g/cm3): 13.4

Unit cell a=3.9926 b=3.9926 c=3.9410 alpha=90.00 beta=90.00 gamma=90.00
Element x y z (fractional)
H: 0.0000 0.0000 0.0000
Ir: 0.0000 0.0000 0.5000
Rh: 0.0000 0.5000 0.0000
Rh: 0.5000 0.0000 0.0000
Ag: 0.5000 0.5000 0.5000



## two
# AgHIrRh2

Crystalline AgHIrRh2 at its relaxed geometry (PBE-GGA, Alexandria via LeMat-Bulk).

Results
Space group: P4/mmm
Crystal system: tetragonal
Total moment (μB per formula unit): 0.00
Density of states at the Fermi level (states/eV/atom): 1.274
Calculated density (g/cm3): 13.4

Unit cell a=3.9476 b=3.9476 c=4.0280 alpha=90.00 beta=90.00 gamma=90.00
Element x y z (fractional)
H: 0.0000 0.0000 0.0000
Ir: 0.5000 0.5000 0.5000
Rh: 0.0000 0.5000 0.0000
Rh: 0.5000 0.0000 0.0000
Ag: 0.0000 0.0000 0.5000



Stability summary: most stable one, least stable two.



## one
# La2AgH

Crystalline La2AgH at its relaxed geometry (PBE-GGA, Alexandria via LeMat-Bulk).

Results
Space group: R-3m
Crystal system: trigonal
Total moment (μB per formula unit): 0.00
Density of states at the Fermi level (states/eV/atom): 0.976
Calculated density (g/cm3): 6.6

Unit cell a=3.8156 b=3.8156 c=8.0135 alpha=76.23 beta=76.23 gamma=60.00
Element x y z (fractional)
H: 0.5000 0.5000 0.5000
Ag: 0.0000 0.0000 0.0000
La: 0.2313 0.2313 0.3062
La: 0.7687 0.7687 0.6938



## two
# La2AgH

Crystalline La2AgH at its relaxed geometry (PBE-GGA, Alexandria via LeMat-Bulk).

Results
Space group: Fm-3m
Crystal system: cubic
Total moment (μB per formula unit): 0.82
Density of states at the Fermi level (states/eV/atom): 1.131
Calculated density (g/cm3): 6.5

Unit cell a=5.1809 b=5.1809 c=5.1809 alpha=60.00 beta=60.00 gamma=60.00
Site moments in Bohr magnetons follow the coordinates.
Element x y z (fractional)
H: 0.0000 0.0000 0.0000  0.00
Ag: 0.5000 0.5000 0.5000  0.03
La: 0.2500 0.2500 0.2500  0.19
La: 0.7500 0.7500 0.7500  0.19



## three
# La2AgH

Crystalline La2AgH at its relaxed geometry (PBE-GGA, Alexandria via LeMat-Bulk).

Results
Space group: R3m
Crystal system: trigonal
Total moment (μB per formula unit): 0.00
Density of states at the Fermi level (states/eV/atom): 0.834
Calculated density (g/cm3): 6.6

Unit cell a=3.8649 b=3.8649 c=7.8501 alpha=75.75 beta=75.75 gamma=60.00
Element x y z (fractional)
La: 0.0659 0.0659 0.8024
La: 0.2679 0.2679 0.1963
Ag: 0.5004 0.5004 0.4989
H: 0.6659 0.6659 0.0024



Stability summary: most stable three, least stable two.



## one
# La2AgH

Crystalline La2AgH at its relaxed geometry (PBE-GGA, Alexandria via LeMat-Bulk).

Results
Space group: P4/mmm
Crystal system: tetragonal
Total moment (μB per formula unit): 0.00
Density of states at the Fermi level (states/eV/atom): 0.848
Calculated density (g/cm3): 7.3

Unit cell a=3.4627 b=3.4627 c=7.3098 alpha=90.00 beta=90.00 gamma=90.00
Element x y z (fractional)
H: 0.5000 0.5000 0.0000
Ag: 0.5000 0.5000 0.5000
La: 0.0000 0.0000 0.7946
La: 0.0000 0.0000 0.2054



## two
# La2AgH

Crystalline La2AgH at its relaxed geometry (PBE-GGA, Alexandria via LeMat-Bulk).

Results
Space group: I-42d
Crystal system: tetragonal
Total moment (μB per formula unit): 0.00
Density of states at the Fermi level (states/eV/atom): 0.342
Calculated density (g/cm3): 6.5

Unit cell a=7.1969 b=7.1969 c=6.3474 alpha=55.46 beta=55.46 gamma=90.00
Element x y z (fractional)
H: 0.5000 0.5000 0.0000
H: 0.2500 0.7500 0.5000
Ag: 0.0000 0.0000 0.0000
Ag: 0.7500 0.2500 0.5000
La: 0.5422 0.1250 0.2500
La: 0.2078 0.6250 0.2500
La: 0.3750 0.4578 0.7500
La: 0.8750 0.7922 0.7500



Stability summary: most stable two, least stable one.



## one
# LaAg2H

Crystalline LaAg2H at its relaxed geometry (PBE-GGA, Alexandria via LeMat-Bulk).

Results
Space group: I-42d
Crystal system: tetragonal
Total moment (μB per formula unit): 0.00
Density of states at the Fermi level (states/eV/atom): 1.134
Calculated density (g/cm3): 7.6

Unit cell a=6.0459 b=6.0459 c=6.0456 alpha=60.00 beta=60.00 gamma=90.00
Element x y z (fractional)
H: 0.5000 0.5000 0.0000
H: 0.2500 0.7500 0.5000
Ag: 0.3767 0.1250 0.2500
Ag: 0.3733 0.6250 0.2500
Ag: 0.3750 0.6233 0.7500
Ag: 0.8750 0.6267 0.7500
La: 0.0000 0.0000 0.0000
La: 0.7500 0.2500 0.5000



## two
# LaAg2H

Crystalline LaAg2H at its relaxed geometry (PBE-GGA, Alexandria via LeMat-Bulk).

Results
Space group: Fm-3m
Crystal system: cubic
Total moment (μB per formula unit): 0.00
Density of states at the Fermi level (states/eV/atom): 0.173
Calculated density (g/cm3): 6.7

Unit cell a=4.9944 b=4.9944 c=4.9944 alpha=60.00 beta=60.00 gamma=60.00
Element x y z (fractional)
H: 0.0000 0.0000 0.0000
Ag: 0.2500 0.2500 0.2500
Ag: 0.7500 0.7500 0.7500
La: 0.5000 0.5000 0.5000



Stability summary: most stable one, least stable two.



## one
# LaAg3H

Crystalline LaAg3H at its relaxed geometry (PBE-GGA, Alexandria via LeMat-Bulk).

Results
Space group: Pm-3m
Crystal system: cubic
Total moment (μB per formula unit): 0.00
Density of states at the Fermi level (states/eV/atom): 0.561
Calculated density (g/cm3): 7.9

Unit cell a=4.5956 b=4.5956 c=4.5956 alpha=90.00 beta=90.00 gamma=90.00
Element x y z (fractional)
H: 0.0000 0.0000 0.0000
Ag: 0.0000 0.5000 0.0000
Ag: 0.0000 0.0000 0.5000
Ag: 0.5000 0.0000 0.0000
La: 0.5000 0.5000 0.5000



## two
# LaAg3H

Crystalline LaAg3H at its relaxed geometry (PBE-GGA, Alexandria via LeMat-Bulk).

Results
Space group: Pm-3m
Crystal system: cubic
Total moment (μB per formula unit): 1.00
Density of states at the Fermi level (states/eV/atom): 0.000
Calculated density (g/cm3): 3.5

Unit cell a=6.0385 b=6.0385 c=6.0385 alpha=90.00 beta=90.00 gamma=90.00
Site moments in Bohr magnetons follow the coordinates.
Element x y z (fractional)
H: 0.5000 0.5000 0.5000  0.37
Ag: 0.0000 0.5000 0.0000  0.00
Ag: 0.0000 0.0000 0.5000  0.00
Ag: 0.5000 0.0000 0.0000  0.02
La: 0.0000 0.0000 0.0000  0.01



Stability summary: most stable one, least stable two.



## one
# La2AgH2

Crystalline La2AgH2 at its relaxed geometry (PBE-GGA, Alexandria via LeMat-Bulk).

Results
Space group: I4/mmm
Crystal system: tetragonal
Total moment (μB per formula unit): 0.00
Density of states at the Fermi level (states/eV/atom): 0.798
Calculated density (g/cm3): 6.4

Unit cell a=3.9021 b=3.9021 c=7.1912 alpha=74.26 beta=74.26 gamma=90.00
Element x y z (fractional)
H: 0.7500 0.2500 0.5000
H: 0.2500 0.7500 0.5000
Ag: 0.0000 0.0000 0.0000
La: 0.3544 0.3544 0.2912
La: 0.6456 0.6456 0.7088



## two
# La2AgH2

Crystalline La2AgH2 at its relaxed geometry (PBE-GGA, Alexandria via LeMat-Bulk).

Results
Space group: P4/mbm
Crystal system: tetragonal
Total moment (μB per formula unit): 0.00
Density of states at the Fermi level (states/eV/atom): 0.919
Calculated density (g/cm3): 7.0

Unit cell a=7.3918 b=7.3918 c=3.3624 alpha=90.00 beta=90.00 gamma=90.00
Element x y z (fractional)
H: 0.3822 0.8822 0.0000
H: 0.8822 0.6178 0.0000
H: 0.6178 0.1178 0.0000
H: 0.1178 0.3822 0.0000
Ag: 0.0000 0.0000 0.0000
Ag: 0.5000 0.5000 0.0000
La: 0.1707 0.6707 0.5000
La: 0.6707 0.8293 0.5000
La: 0.8293 0.3293 0.5000
La: 0.3293 0.1707 0.5000



Stability summary: most stable one, least stable two.